(1)
# Y3Tm4Th2

An optimized crystal structure of Y3Tm4Th2 (GGA-PBE, the Alexandria database).

Structure (POSCAR):
```
Y3Tm4Th2
1.0
6.059 0.083 0.492
0.661 9.306 3.464
0.266 -0.333 9.942
Y Tm Th
6 8 4
Cartesian
4.293 6.497 12.160 Y
5.638 0.536 3.373 Y
5.051 5.612 6.358 Y
2.693 2.559 1.739 Y
1.348 8.520 10.526 Y
1.935 3.444 7.541 Y
3.429 0.570 8.660 Tm
2.310 1.240 4.821 Tm
3.557 8.486 5.238 Tm
5.447 3.903 3.305 Tm
6.299 1.495 10.211 Tm
0.687 7.561 3.688 Tm
1.539 5.152 10.594 Tm
4.676 7.815 9.078 Tm
1.771 6.848 7.435 Th
4.692 4.243 9.460 Th
2.294 4.813 4.439 Th
5.215 2.207 6.463 Th
```

Summary:
Energy above the most stable polymorph in this dataset ... 2.1 meV/atom
Space-group type ... No. 15
Formation energy from the elements ... 11.8 kJ/mol of atoms



(2)
# MgInCo

An optimized crystal structure of MgInCo (GGA-PBE, the Alexandria database).

Structure (POSCAR):
```
MgInCo
1.0
-0.538 2.635 1.111
-3.134 0.683 -3.137
-3.030 -1.736 2.649
Mg Co In
1 1 1
Cartesian
-3.082 -0.527 -0.244 Mg
-1.784 0.449 1.880 Co
0.000 0.000 0.000 In
```

Summary:
Space-group type ... No. 47
Formation energy from the elements ... 1.0 kJ/mol of atoms



(3)
# CsVB3

An optimized crystal structure of CsVB3 (GGA-PBE, the Alexandria database).

Structure (POSCAR):
```
CsVB3
1.0
-0.669 -4.364 -0.253
3.575 -0.694 2.509
-2.515 0.175 3.633
V Cs B
1 1 3
Cartesian
0.000 0.000 0.000 V
0.195 -2.442 2.944 Cs
-1.258 0.087 1.817 B
-0.335 -2.182 -0.127 B
1.788 -0.347 1.254 B
```

Summary:
Space-group type ... No. 221
Formation energy from the elements ... 141.6 kJ/mol of atoms